No. 1
Compound: SrGeIr2
Source: Alexandria via LeMat-Bulk
Functional: PBE
Structure: relaxed

Unit cell a=4.1694 b=4.1694 c=9.6496 alpha=90.00 beta=90.00 gamma=90.00
Sites, in units of the cell vectors:
Sr 0.2500 0.2500 0.2068
Sr 0.7500 0.7500 0.7932
Ge 0.2500 0.2500 0.6412
Ge 0.7500 0.7500 0.3588
Ir 0.2500 0.2500 0.8876
Ir 0.2500 0.7500 0.5000
Ir 0.7500 0.2500 0.5000
Ir 0.7500 0.7500 0.1124

Its total energy is -6.123 eV per atom. The value obtained for the formation energy is -0.12 eV/atom. Its space group is No. 129. Its calculated density is 10.78 g cm⁻³. The value obtained for the density of states at the Fermi level is 5.783 states/eV per cell.



No. 2
Compound: CaTlN
Source: Alexandria via LeMat-Bulk
Functional: PBE
Structure: relaxed

Unit cell a=3.9183 b=3.9183 c=10.5504 alpha=93.19 beta=93.19 gamma=54.35
Sites, in units of the cell vectors:
Ca 0.1488 0.1488 0.1309
Ca 0.8512 0.8512 0.8691
Tl 0.1584 0.1584 0.6157
Tl 0.8416 0.8416 0.3843
N 0.4271 0.4271 0.0362
N 0.5729 0.5729 0.9638

Its total energy is -4.662 eV per atom. Its space group is No. 12. Its calculated density is 6.53 g cm⁻³. As for the formation energy (no corrections): -0.431 eV/atom. The value obtained for the density of states at the Fermi level is 3.506 states/eV per cell.



No. 3
Compound: Er8S6N
Source: Alexandria via LeMat-Bulk
Functional: PBE
Structure: relaxed

Unit cell a=9.6695 b=9.6695 c=3.9589 alpha=90.00 beta=90.00 gamma=120.00
Sites, in units of the cell vectors:
Er 0.0265 0.3027 0.2647
Er 0.2761 0.9735 0.2647
Er 0.3027 0.2761 0.7353
Er 0.3333 0.6667 0.7448
Er 0.6667 0.3333 0.2552
Er 0.6973 0.7239 0.2647
Er 0.7239 0.0265 0.7353
Er 0.9735 0.6973 0.7353
S 0.1294 0.6525 0.2431
S 0.3475 0.4769 0.2431
S 0.4769 0.1294 0.7569
S 0.5231 0.8706 0.2431
S 0.6525 0.5231 0.7569
S 0.8706 0.3475 0.7569
N 0.0000 0.0000 0.5000

Its total energy is -5.854 eV per atom. Its space group is No. 147. Its calculated density is 8.00 g cm⁻³. As for the formation energy (no corrections): -1.214 eV/atom. The value obtained for the density of states at the Fermi level is 9.262 states/eV per cell.



No. 4
Compound: YHf2Ga9
Source: Alexandria via LeMat-Bulk
Functional: PBE
Structure: relaxed

Unit cell a=4.1790 b=4.1790 c=12.4149 alpha=90.00 beta=90.00 gamma=90.00
Sites, in units of the cell vectors:
Y 0.0000 0.0000 0.0000
Hf 0.0000 0.0000 0.3394
Hf 0.0000 0.0000 0.6606
Ga 0.0000 0.5000 0.1760
Ga 0.0000 0.5000 0.5000
Ga 0.0000 0.5000 0.8240
Ga 0.5000 0.0000 0.1760
Ga 0.5000 0.0000 0.5000
Ga 0.5000 0.0000 0.8240
Ga 0.5000 0.5000 0.0000
Ga 0.5000 0.5000 0.3359
Ga 0.5000 0.5000 0.6641

Its total energy is -4.888 eV per atom. The value obtained for the formation energy is -0.42 eV/atom. Its space group is No. 123. Its calculated density is 8.22 g cm⁻³. The value obtained for the density of states at the Fermi level is 5.040 states/eV per cell.



No. 5
Compound: PmPr6Sm4
Source: Alexandria via LeMat-Bulk
Functional: PBE
Structure: relaxed

Unit cell a=8.7645 b=8.7645 c=8.7645 alpha=128.00 beta=128.00 gamma=76.63
Sites, in units of the cell vectors:
Pm 0.0000 0.0000 0.0000
Pr 0.0000 0.5000 0.5000
Pr 0.0382 0.5853 0.0000
Pr 0.4147 0.4147 0.4529
Pr 0.5000 0.0000 0.5000
Pr 0.5853 0.0382 0.0000
Pr 0.9618 0.9618 0.5471
Sm 0.2509 0.2509 0.6637
Sm 0.4128 0.7491 0.0000
Sm 0.5872 0.5872 0.3363
Sm 0.7491 0.4128 0.0000

Its total energy is -4.415 eV per atom. The value obtained for the formation energy is 0.34 eV/atom. Its space group is No. 121. Its calculated density is 6.51 g cm⁻³. The value obtained for the density of states at the Fermi level is 13.656 states/eV per cell.



No. 6
Compound: TlSe2BrCl
Source: Alexandria via LeMat-Bulk
Functional: PBE
Structure: relaxed

Unit cell a=4.8931 b=4.8931 c=7.4325 alpha=90.00 beta=90.00 gamma=90.00
Sites, in units of the cell vectors:
Tl 0.0000 0.0000 0.0000
Se 0.0000 0.5000 0.5000
Se 0.5000 0.0000 0.5000
Br 0.5000 0.5000 0.0000
Cl 0.5000 0.5000 0.5000

Its total energy is -2.303 eV per atom. Its space group is No. 123. Its calculated density is 4.46 g cm⁻³. As for the formation energy (no corrections): 0.268 eV/atom. The value obtained for the density of states at the Fermi level is 5.221 states/eV per cell.



No. 7
Compound: AcCe3Nd2As6
Source: Alexandria via LeMat-Bulk
Functional: PBE
Structure: relaxed

Unit cell a=7.4369 b=7.4369 c=7.4383 alpha=99.60 beta=99.60 gamma=120.00
Sites, in units of the cell vectors:
Ac 0.0000 0.0000 0.0000
Ce 0.1652 0.8348 0.5000
Ce 0.5000 0.5000 0.5000
Ce 0.8348 0.1652 0.5000
Nd 0.3328 0.6672 0.0000
Nd 0.6672 0.3328 0.0000
As 0.0873 0.4286 0.2614
As 0.2549 0.2549 0.7401
As 0.4286 0.0873 0.2614
As 0.5714 0.9127 0.7386
As 0.7451 0.7451 0.2599
As 0.9127 0.5714 0.7386

Its total energy is -6.398 eV per atom. The value obtained for the formation energy is -1.45 eV/atom. Its space group is No. 12. Its calculated density is 6.85 g cm⁻³. The value obtained for the density of states at the Fermi level is 17.105 states/eV per cell.



No. 8
Compound: LaTlPb2
Source: Alexandria via LeMat-Bulk
Functional: PBE
Structure: relaxed

Unit cell a=10.9849 b=10.9849 c=10.9849 alpha=19.52 beta=19.52 gamma=19.52
Sites, in units of the cell vectors:
La 0.0000 0.0000 0.0000
Tl 0.5000 0.5000 0.5000
Pb 0.2476 0.2476 0.2476
Pb 0.7524 0.7524 0.7524

Its total energy is -3.806 eV per atom. The value obtained for the formation energy is -0.13 eV/atom. Its space group is No. 166. Its calculated density is 9.72 g cm⁻³. The value obtained for the density of states at the Fermi level is 2.579 states/eV per cell.